(w)
Computed, not measured: a relaxed IrW2Se crystal at the GGA-PBE level of DFT.

Calculated values
DOS at the Fermi energy in states/eV per atom: 0.2959
Volume in Å³ per cell: 66
Space-group type: R3m, No. 160
Calculated density in Mg/m³: 16.13
Magnetic moment in μB/f.u.: 0.0

Cell: 9.0296 9.0296 9.0296 Å, 18.65 18.65 18.65°
Last column: nearest neighbours and their distance in Å.
Atoms (fractional coordinates):
Ir: 0.4955 0.4955 0.4955  3 W 2.65, 6 Ir 2.93
Se: 0.2573 0.2573 0.2573  3 W 2.54
W: 0.9951 0.9951 0.9951  3 Se 2.54
W: 0.7521 0.7521 0.7521  3 Ir 2.65, 9 W 2.93-2.94

***

(x)
Computed, not measured: a relaxed IrW2Se crystal at the GGA-PBE level of DFT.

Calculated values
DOS at the Fermi energy in states/eV per atom: 0.6025
Volume in Å³ per cell: 65
Space-group type: P4/mmm, No. 123
Calculated density in Mg/m³: 16.36
Magnetic moment in μB/f.u.: 0.0

Cell: 4.5314 3.7829 3.7829 Å, 90.00 90.00 90.00°
Last column: nearest neighbours and their distance in Å.
Atoms (fractional coordinates):
Ir: 0.5000 0.5000 0.0000  4 Se 2.67, 8 W 2.95
Se: 0.5000 0.0000 0.5000  4 Ir 2.67, 8 W 2.95
W: 0.0000 0.0000 0.0000  4 W 2.67, 4 Se 2.95, 4 Ir 2.95
W: 0.0000 0.5000 0.5000  4 W 2.67, 4 Se 2.95, 4 Ir 2.95

***

(y)
Computed, not measured: a relaxed IrW2Se crystal at the GGA-PBE level of DFT.

Calculated values
DOS at the Fermi energy in states/eV per atom: 0.6294
Volume in Å³ per cell: 64
Space-group type: Pm, No. 6
Calculated density in Mg/m³: 16.56
Magnetic moment in μB/f.u.: 0.0

Cell: 4.2553 2.8246 5.5072 Å, 75.39 90.00 90.00°
Last column: nearest neighbours and their distance in Å.
Atoms (fractional coordinates):
Ir: 0.0000 0.5628 0.4940  7 W 2.72-2.97, 2 Ir 2.82, 4 Se 2.87-2.89
Se: 0.5000 0.9467 0.7435  3 W 2.48
W: 0.0000 0.8213 0.9844  2 Se 2.48, 1 Ir 2.72
W: 0.5000 0.1693 0.2781  1 Se 2.48

***

Q: What are the energies relative to the best structure? A: (w) 0; (x) 452; (y) 140, in meV/atom.

***

(w)
Computed, not measured: a relaxed IrWSe crystal at the GGA-PBE level of DFT.

Calculated values
DOS at the Fermi energy in states/eV per atom: 0.4865
Volume in Å³ per cell: 50
Space-group type: Cm, No. 8
Calculated density in Mg/m³: 15.07
Magnetic moment in μB/f.u.: 0.0

Cell: 5.8048 6.5013 6.5013 Å, 153.57 152.46 39.68°
Last column: nearest neighbours and their distance in Å.
Atoms (fractional coordinates):
Ir: 0.8786 0.0197 0.8590  4 W 2.68, 2 Se 2.75, 2 Ir 2.97
Se: 0.4554 0.3135 0.1419  4 W 2.67-2.69, 2 Ir 2.75, 2 Se 2.97
W: 0.6659 0.6668 0.9991  4 Se 2.67-2.69, 4 Ir 2.68, 2 W 2.97

***

(x)
Computed, not measured: a relaxed IrWSe crystal at the GGA-PBE level of DFT.

Calculated values
DOS at the Fermi energy in states/eV per atom: 0.6856
Volume in Å³ per cell: 48
Space-group type: I4mm, No. 107
Calculated density in Mg/m³: 15.62
Magnetic moment in μB/f.u.: 0.0

Cell: 5.7466 5.7467 3.0106 Å, 74.81 74.82 30.37°
Last column: nearest neighbours and their distance in Å.
Atoms (fractional coordinates):
Ir: 0.0128 0.0128 0.9872  4 W 2.69, 4 Se 2.96, 4 Ir 3.01
Se: 0.3198 0.3198 0.6802  4 W 2.68, 4 Ir 2.96
W: 0.6674 0.6674 0.3326  4 Se 2.68, 4 Ir 2.69

***

(y)
Computed, not measured: a relaxed IrWSe crystal at the GGA-PBE level of DFT.

Calculated values
DOS at the Fermi energy in states/eV per atom: 0.9283
Volume in Å³ per cell: 48
Space-group type: P-6m2, No. 187
Calculated density in Mg/m³: 15.78
Magnetic moment in μB/f.u.: 0.0

Cell: 4.2994 4.2994 2.9910 Å, 90.00 90.00 120.00°
Last column: nearest neighbours and their distance in Å.
Atoms (fractional coordinates):
Ir: 0.0000 0.0000 0.0001  6 Se 2.90, 6 W 2.90, 2 Ir 2.99
Se: 0.6667 0.3333 0.5000  3 W 2.48
W: 0.3333 0.6667 0.5000  3 Se 2.48

***

(z)
Computed, not measured: a relaxed IrWSe crystal at the GGA-PBE level of DFT.

Calculated values
DOS at the Fermi energy in states/eV per atom: 0.2617
Volume in Å³ per cell: 49
Space-group type: P3m1, No. 156
Calculated density in Mg/m³: 15.41
Magnetic moment in μB/f.u.: 0.0

Cell: 2.9630 2.9630 6.4486 Å, 90.00 90.00 120.00°
Last column: nearest neighbours and their distance in Å.
Atoms (fractional coordinates):
Ir: 0.0000 0.0000 0.9808  3 W 2.69, 6 Ir 2.96, 3 Se 2.99
Se: 0.6667 0.3333 0.3607  3 W 2.57
W: 0.3333 0.6667 0.6584  3 Se 2.57, 3 Ir 2.69

***

Q: What are the energies relative to the best structure? A: (w) 0; (x) 43; (y) 269; (z) 77, in meV/atom.

***

(w)
Computed, not measured: a relaxed Ir2W2Se crystal at the GGA-PBE level of DFT.

Calculated values
DOS at the Fermi energy in states/eV per atom: 0.8812
Volume in Å³ per cell: 92
Space-group type: I4/mmm, No. 139
Calculated density in Mg/m³: 14.97
Magnetic moment in μB/f.u.: 0.0

Cell: 3.9177 3.9177 6.6134 Å, 72.77 72.77 90.00°
Last column: nearest neighbours and their distance in Å.
Atoms (fractional coordinates):
Ir: 0.3910 0.3910 0.2180  4 W 2.59, 1 Ir 2.62
Ir: 0.6090 0.6090 0.7820  4 W 2.59, 1 Ir 2.62
Se: 0.0000 0.0000 0.0000  8 Ir 3.06
W: 0.7500 0.2500 0.5000  4 Ir 2.59, 4 W 2.77
W: 0.2500 0.7500 0.5000  4 Ir 2.59, 4 W 2.77

***

(x)
Computed, not measured: a relaxed Ir2W2Se crystal at the GGA-PBE level of DFT.

Calculated values
DOS at the Fermi energy in states/eV per atom: 0.7375
Volume in Å³ per cell: 89
Space-group type: I4/mmm, No. 139
Calculated density in Mg/m³: 15.59
Magnetic moment in μB/f.u.: 0.0

Cell: 3.6691 3.6691 7.0678 Å, 74.96 74.96 90.00°
Last column: nearest neighbours and their distance in Å.
Atoms (fractional coordinates):
Ir: 0.7500 0.2500 0.5000  4 Ir 2.59, 4 W 2.60
Ir: 0.2500 0.7500 0.5000  4 Ir 2.59, 4 W 2.60
Se: 0.0000 0.0000 0.0000  8 W 2.97
W: 0.3904 0.3904 0.2193  4 Ir 2.60, 1 W 2.88
W: 0.6096 0.6096 0.7807  4 Ir 2.60, 1 W 2.88

***

(y)
Computed, not measured: a relaxed Ir2W2Se crystal at the GGA-PBE level of DFT.

Calculated values
DOS at the Fermi energy in states/eV per atom: 0.7644
Volume in Å³ per cell: 168
Space-group type: P4/mbm, No. 127
Calculated density in Mg/m³: 16.38
Magnetic moment in μB/f.u.: 0.0

Cell: 7.7786 7.7786 2.7845 Å, 90.00 90.00 90.00°
Last column: nearest neighbours and their distance in Å.
Atoms (fractional coordinates):
Ir: 0.1264 0.6264 0.5000  6 W 2.68, 3 Ir 2.78
Ir: 0.6264 0.8736 0.5000  6 W 2.68, 3 Ir 2.78
Ir: 0.8736 0.3736 0.5000  6 W 2.68, 3 Ir 2.78
Ir: 0.3736 0.1264 0.5000  6 W 2.68, 3 Ir 2.78
Se: 0.0000 0.0000 0.0000  2 Se 2.78, 4 W 2.90
Se: 0.5000 0.5000 0.0000  2 Se 2.78, 4 W 2.90
W: 0.3350 0.8350 0.0000  6 Ir 2.68, 2 W 2.78, 2 Se 2.90
W: 0.8350 0.6650 0.0000  6 Ir 2.68, 2 W 2.78, 2 Se 2.90
W: 0.6650 0.1650 0.0000  6 Ir 2.68, 2 W 2.78, 2 Se 2.90
W: 0.1650 0.3350 0.0000  6 Ir 2.68, 2 W 2.78, 2 Se 2.90

***

Q: What are the energies relative to the best structure? A: (w) 337; (x) 265; (y) 0, in meV/atom.

***

(w)
Computed, not measured: a relaxed IrW3Se crystal at the GGA-PBE level of DFT.

Calculated values
DOS at the Fermi energy in states/eV per atom: 1.3004
Volume in Å³ per cell: 93
Space-group type: Pm-3m, No. 221
Calculated density in Mg/m³: 14.71
Magnetic moment in μB/f.u.: 0.0

Cell: 4.5284 4.5284 4.5284 Å, 90.00 90.00 90.00°
Last column: nearest neighbours and their distance in Å.
Atoms (fractional coordinates):
Ir: 0.5000 0.5000 0.5000  12 W 3.20
Se: 0.0000 0.0000 0.0000  6 W 2.26
W: 0.0000 0.5000 0.0000  2 Se 2.26
W: 0.0000 0.0000 0.5000  2 Se 2.26
W: 0.5000 0.0000 0.0000  2 Se 2.26

***

(x)
Computed, not measured: a relaxed IrW3Se crystal at the GGA-PBE level of DFT.

Calculated values
DOS at the Fermi energy in states/eV per atom: 1.2455
Volume in Å³ per cell: 110
Space-group type: Pm-3m, No. 221
Calculated density in Mg/m³: 12.46
Magnetic moment in μB/f.u.: 0.0

Cell: 4.7868 4.7868 4.7868 Å, 90.00 90.00 90.00°
Last column: nearest neighbours and their distance in Å.
Atoms (fractional coordinates):
Ir: 0.0000 0.0000 0.0000  6 W 2.39
Se: 0.5000 0.5000 0.5000  12 W 3.38
W: 0.0000 0.5000 0.0000  2 Ir 2.39
W: 0.0000 0.0000 0.5000  2 Ir 2.39
W: 0.5000 0.0000 0.0000  2 Ir 2.39

***

Q: What are the energies relative to the best structure? A: (w) 0; (x) 267, in meV/atom.

***

(w)
Computed, not measured: a relaxed YIrSe3 crystal at the GGA-PBE level of DFT.

Calculated values
DOS at the Fermi energy in states/eV per atom: 1.4783
Volume in Å³ per cell: 156
Space-group type: Pm-3m, No. 221
Calculated density in Mg/m³: 5.52
Magnetic moment in μB/f.u.: 3.1

Cell: 5.3796 5.3796 5.3796 Å, 90.00 90.00 90.00°
Last column: nearest neighbours and their distance in Å.
Atoms (fractional coordinates):
Y: 0.0000 0.0000 0.0000  6 Se 2.69
Ir: 0.5000 0.5000 0.5000  12 Se 3.80
Se: 0.0000 0.5000 0.0000  2 Y 2.69
Se: 0.0000 0.0000 0.5000  2 Y 2.69
Se: 0.5000 0.0000 0.0000  2 Y 2.69

***

(x)
Computed, not measured: a relaxed YIrSe3 crystal at the GGA-PBE level of DFT.

Calculated values
DOS at the Fermi energy in states/eV per atom: 1.1841
Volume in Å³ per cell: 119
Space-group type: Pm-3m, No. 221
Calculated density in Mg/m³: 7.24
Magnetic moment in μB/f.u.: 0.0

Cell: 4.9160 4.9160 4.9160 Å, 90.00 90.00 90.00°
Last column: nearest neighbours and their distance in Å.
Atoms (fractional coordinates):
Y: 0.5000 0.5000 0.5000  12 Se 3.48
Ir: 0.0000 0.0000 0.0000  6 Se 2.46
Se: 0.0000 0.5000 0.0000  2 Ir 2.46
Se: 0.0000 0.0000 0.5000  2 Ir 2.46
Se: 0.5000 0.0000 0.0000  2 Ir 2.46

***

Q: What are the energies relative to the best structure? A: (w) 1002; (x) 0, in meV/atom.

***

(w)
Computed, not measured: a relaxed ZnIr2Se crystal at the GGA-PBE level of DFT.

Calculated values
DOS at the Fermi energy in states/eV per atom: 0.6228
Volume in Å³ per cell: 60
Space-group type: Cmmm, No. 65
Calculated density in Mg/m³: 14.57
Magnetic moment in μB/f.u.: 0.0

Cell: 4.5014 4.5014 2.9984 Å, 90.00 90.00 97.41°
Last column: nearest neighbours and their distance in Å.
Atoms (fractional coordinates):
Ir: 0.0000 0.0000 0.0000  4 Se 2.70, 4 Zn 2.70, 4 Ir 2.97-3.00
Ir: 0.5000 0.5000 0.0000  4 Zn 2.70, 4 Se 2.70, 4 Ir 2.97-3.00
Se: 0.5000 0.0000 0.5000  8 Ir 2.70, 2 Zn 2.97, 2 Se 3.00
Zn: 0.0000 0.5000 0.5000  8 Ir 2.70, 2 Se 2.97, 2 Zn 3.00

***

(x)
Computed, not measured: a relaxed ZnIr2Se crystal at the GGA-PBE level of DFT.

Calculated values
DOS at the Fermi energy in states/eV per atom: 0.7926
Volume in Å³ per cell: 72
Space-group type: Pm, No. 6
Calculated density in Mg/m³: 12.22
Magnetic moment in μB/f.u.: 0.0

Cell: 3.6031 2.7372 7.2853 Å, 89.89 90.00 90.00°
Last column: nearest neighbours and their distance in Å.
Atoms (fractional coordinates):
Ir: 0.0000 0.0008 0.0115  4 Zn 2.63, 6 Ir 2.71-2.74
Ir: 0.5000 0.4997 0.2155  2 Se 2.46, 6 Ir 2.71-2.74
Se: 0.0000 0.4983 0.4460  2 Ir 2.46, 2 Se 2.74
Zn: 0.5000 0.5013 0.8270  5 Ir 2.63-2.83, 2 Zn 2.74

***

Q: What are the energies relative to the best structure? A: (w) 144; (x) 0, in meV/atom.

***

(w)
Computed, not measured: a relaxed ZnIr2Se crystal at the GGA-PBE level of DFT.

Calculated values
DOS at the Fermi energy in states/eV per atom: 0.7703
Volume in Å³ per cell: 64
Space-group type: P2/m, No. 10
Calculated density in Mg/m³: 13.79
Magnetic moment in μB/f.u.: 0.0

Cell: 4.3666 2.8401 5.2662 Å, 102.76 90.00 90.00°
Last column: nearest neighbours and their distance in Å.
Atoms (fractional coordinates):
Ir: 0.0000 0.1134 0.9789  2 Se 2.59, 2 Zn 2.60, 5 Ir 2.69-2.84
Ir: 0.0000 0.3866 0.5211  2 Se 2.59, 2 Zn 2.60, 5 Ir 2.69-2.84
Se: 0.5000 0.2500 0.2500  4 Ir 2.59, 2 Zn 2.70, 2 Se 2.84
Zn: 0.5000 0.7500 0.7500  4 Ir 2.60, 2 Se 2.70, 2 Zn 2.84

***

(x)
Computed, not measured: a relaxed ZnIr2Se crystal at the GGA-PBE level of DFT.

Calculated values
DOS at the Fermi energy in states/eV per atom: 0.3845
Volume in Å³ per cell: 60
Space-group type: I4/mmm, No. 139
Calculated density in Mg/m³: 14.59
Magnetic moment in μB/f.u.: 0.0

Cell: 4.5833 4.5833 4.5833 Å, 126.48 126.48 79.10°
Last column: nearest neighbours and their distance in Å.
Atoms (fractional coordinates):
Ir: 0.0000 0.0000 0.0000  4 Se 2.72, 4 Zn 2.72, 4 Ir 2.92
Ir: 0.5000 0.5000 0.0000  4 Zn 2.72, 4 Se 2.72, 4 Ir 2.92
Se: 0.2500 0.7500 0.5000  8 Ir 2.72, 4 Zn 2.92
Zn: 0.7500 0.2500 0.5000  8 Ir 2.72, 4 Se 2.92

***

Q: What are the energies relative to the best structure? A: (w) 0; (x) 58, in meV/atom.

***

(w)
Computed, not measured: a relaxed ZnIr2Se crystal at the GGA-PBE level of DFT.

Calculated values
DOS at the Fermi energy in states/eV per atom: 0.7872
Volume in Å³ per cell: 61
Space-group type: R-3m, No. 166
Calculated density in Mg/m³: 14.37
Magnetic moment in μB/f.u.: 0.0

Cell: 8.3423 8.3423 8.3423 Å, 20.29 20.29 20.29°
Last column: nearest neighbours and their distance in Å.
Atoms (fractional coordinates):
Ir: 0.9986 0.9986 0.9986  3 Se 2.63, 3 Zn 2.68, 6 Ir 2.94
Ir: 0.5014 0.5014 0.5014  3 Se 2.63, 3 Zn 2.68, 6 Ir 2.94
Se: 0.2500 0.2500 0.2500  6 Ir 2.63, 6 Se 2.94
Zn: 0.7500 0.7500 0.7500  6 Ir 2.68, 6 Zn 2.94

***

(x)
Computed, not measured: a relaxed ZnIr2Se crystal at the GGA-PBE level of DFT.

Calculated values
DOS at the Fermi energy in states/eV per atom: 0.8333
Volume in Å³ per cell: 61
Space-group type: I-4m2, No. 119
Calculated density in Mg/m³: 14.28
Magnetic moment in μB/f.u.: 0.0

Cell: 4.9982 4.9982 4.9982 Å, 135.01 135.01 65.51°
Last column: nearest neighbours and their distance in Å.
Atoms (fractional coordinates):
Ir: 0.0000 0.0000 0.0000  4 Se 2.70, 4 Zn 2.84, 4 Ir 2.84
Ir: 0.2500 0.7500 0.5000  4 Zn 2.70, 4 Se 2.84, 4 Ir 2.84
Se: 0.5000 0.5000 0.0000  8 Ir 2.70-2.84, 4 Zn 2.84
Zn: 0.7500 0.2500 0.5000  8 Ir 2.70-2.84, 4 Se 2.84

***

Q: What are the energies relative to the best structure? A: (w) 0; (x) 206, in meV/atom.